First-principles (GGA+U) data for a relaxed RbEuW2O8 crystal, as listed in Alexandria.

The structure in CIF format:
```
data_RbEuW2O8
_chemical_formula_sum 'Rb4 Eu4 W8 O32'
_symmetry_space_group_name_H-M 'C 1 2/c 1'
_symmetry_Int_Tables_number 15
_symmetry_space_group_name_Hall '-C 2yc'
_cell_length_a 11.1540
_cell_length_b 10.9704
_cell_length_c 7.5384
_cell_angle_alpha 90.00
_cell_angle_beta 130.34
_cell_angle_gamma 90.00
loop_
_atom_site_label
_atom_site_type_symbol
_atom_site_fract_x
_atom_site_fract_y
_atom_site_fract_z
Rb1 Rb 0.0000 0.2072 0.2500
Eu1 Eu 0.0000 0.2251 0.7500
W1 W 0.1935 0.4951 0.7111
O1 O 0.0156 0.3925 0.9669
O2 O 0.1418 0.0929 0.6973
O3 O 0.1855 0.4414 0.4382
O4 O 0.2110 0.1499 0.1323
```

Calculated values
The calculation puts the magnetic moment at 6.0 μB/f.u. The total energy is -7.678 eV/atom.